Entry from the Alexandria database: crystalline Ag4Sn3S8 at its relaxed geometry (PBEsol).

Computed properties:
total magnetization = 0.0 μB per formula unit

Cell lengths 10.6392, 10.6392, 10.6392 Å; angles 90.00, 90.00, 90.00 degrees
Positions (direct):
Ag  0.1137  0.1250  0.8637
Ag  0.1250  0.6250  0.8750
Ag  0.1250  0.8637  0.1137
Ag  0.1363  0.6137  0.3750
Ag  0.3637  0.3863  0.8750
Ag  0.3750  0.1363  0.6137
Ag  0.3750  0.3750  0.3750
Ag  0.3863  0.8750  0.3637
Ag  0.6137  0.3750  0.1363
Ag  0.6250  0.6363  0.8863
Ag  0.6250  0.8750  0.1250
Ag  0.6363  0.8863  0.6250
Ag  0.8637  0.1137  0.1250
Ag  0.8750  0.1250  0.6250
Ag  0.8750  0.3637  0.3863
Ag  0.8863  0.6250  0.6363
Sn  0.1203  0.3703  0.1250
Sn  0.1250  0.1203  0.3703
Sn  0.1297  0.8750  0.6203
Sn  0.3703  0.1250  0.1203
Sn  0.3750  0.8797  0.8703
Sn  0.3797  0.6297  0.6250
Sn  0.6203  0.1297  0.8750
Sn  0.6250  0.3797  0.6297
Sn  0.6297  0.6250  0.3797
Sn  0.8703  0.3750  0.8797
Sn  0.8750  0.6203  0.1297
Sn  0.8797  0.8703  0.3750
S  0.1109  0.3656  0.8843
S  0.1156  0.3609  0.3657
S  0.1157  0.6109  0.1344
S  0.1230  0.1230  0.1230
S  0.1270  0.8730  0.3730
S  0.1344  0.1157  0.6109
S  0.1343  0.8844  0.8609
S  0.1391  0.6343  0.6156
S  0.3609  0.3657  0.1156
S  0.3657  0.1156  0.3609
S  0.3656  0.8843  0.1109
S  0.3730  0.1270  0.8730
S  0.3770  0.8770  0.6230
S  0.3843  0.3891  0.6344
S  0.3844  0.6391  0.8657
S  0.3891  0.6344  0.3843
S  0.6109  0.1344  0.1157
S  0.6156  0.1391  0.6343
S  0.6157  0.8891  0.8656
S  0.6230  0.3770  0.8770
S  0.6270  0.6270  0.6270
S  0.6344  0.3843  0.3891
S  0.6343  0.6156  0.1391
S  0.6391  0.8657  0.3844
S  0.8609  0.1343  0.8844
S  0.8657  0.3844  0.6391
S  0.8656  0.6157  0.8891
S  0.8730  0.3730  0.1270
S  0.8770  0.6230  0.3770
S  0.8843  0.1109  0.3656
S  0.8844  0.8609  0.1343
S  0.8891  0.8656  0.6157



Entry from the Alexandria database: crystalline TaAgS2 at its relaxed geometry (PBEsol).

Computed properties:
total magnetization = 0.0 μB per formula unit

Cell lengths 8.2061, 8.2061, 8.2061 Å; angles 22.77, 22.77, 22.77 degrees
Positions (direct):
Ta  0.0000  0.0000  0.0000
Ag  0.5000  0.5000  0.5000
S  0.3999  0.3999  0.3999
S  0.6001  0.6001  0.6001



Entry from the Alexandria database: crystalline TaAg7S6 at its relaxed geometry (PBEsol).

Computed properties:
distance to the lowest polymorph of the same formula = 0.0234 eV/atom
total magnetization = 0.0 μB per formula unit

Cell lengths 7.1005, 7.2226, 7.2530 Å; angles 115.92, 118.30, 93.31 degrees
Positions (direct):
Ta  0.0000  0.0000  0.0000
Ag  0.0941  0.4098  0.9721
Ag  0.3019  0.7334  0.9104
Ag  0.4519  0.0271  0.4264
Ag  0.5406  0.4784  0.7061
Ag  0.6887  0.2488  0.9718
Ag  0.7781  0.9125  0.3091
Ag  0.8475  0.5878  0.4724
S  0.0610  0.8056  0.1931
S  0.1233  0.3623  0.3035
S  0.1514  0.9665  0.7698
S  0.5046  0.5201  0.0589
S  0.6125  0.8554  0.7161
S  0.7816  0.2895  0.5456



What did we get for E? Answer: -4.35; -6.88; -4.67 eV/atom, in the order shown.
What did we get for formation energy (no corrections)? Answer: -276; -718; -237 meV/atom, in the order shown.
What did we get for V? Answer: 20.07; 18.16; 19.83 Å³ per atom, in the order shown.